Record 1
Below is K2SbW after structural relaxation, with properties calculated at the PBE level.

Values from the calculation:
calculated density = 5.39 g cm⁻³
energy = -3.765 eV per atom

a b c (Å): 5.5100 5.5100 7.7842
angles (deg): 90.00 90.00 90.00
Space group I-4m2 (No. 119)
Asymmetric unit:
K 0.0000 0.0000 0.0000 x2
K 0.0000 0.5000 0.2500 x2
Sb 0.0000 0.0000 0.5000 x2
W 0.0000 0.5000 0.7500 x2

Record 2
Below is Ce4Al2O9 after structural relaxation, with properties calculated at the PBE level.

Values from the calculation:
calculated density = 5.42 g cm⁻³
energy = -8.297 eV per atom

a b c (Å): 7.8249 10.9692 11.4722
angles (deg): 90.00 109.39 90.00
Space group P2_1/c (No. 14)
Asymmetric unit:
Ce 0.0222 0.0987 0.2882 x4
Ce 0.1655 0.6249 0.5728 x4
Ce 0.3369 0.1259 0.9176 x4
Ce 0.4754 0.5862 0.1929 x4
Al 0.1505 0.1880 0.6196 x4
Al 0.2765 0.6901 0.8712 x4
O 0.0671 0.7387 0.8837 x4
O 0.0700 0.0064 0.8985 x4
O 0.1404 0.2270 0.4679 x4
O 0.2020 0.0364 0.6724 x4
O 0.2732 0.7233 0.2390 x4
O 0.2791 0.5361 0.8277 x4
O 0.2827 0.2218 0.2463 x4
O 0.4227 0.7303 0.0191 x4
O 0.4250 0.0021 0.1058 x4

Record 3
Below is AlTe2Ir after structural relaxation, with properties calculated at the PBE level.

Values from the calculation:
calculated density = 9.13 g cm⁻³
energy = -4.329 eV per atom

a b c (Å): 3.2037 3.4822 7.7330
angles (deg): 90.00 90.00 90.00
Space group Pmmm (No. 47)
Asymmetric unit:
Al 0.0000 0.0000 0.0000 x1
Te 0.5000 0.5000 0.2817 x2
Ir 0.0000 0.0000 0.5000 x1

Short version: formation energy (no corrections) = 1.05, -3.24, 0.39 eV/atom, in the order given.